Entry 1:
This record from the Alexandria database describes a geometry-optimized KBiAs2Pd4 structure. The functional is PBE.

Geometry as POSCAR:
```
KBiAs2Pd4
1.0
4.1908 0.0000 0.0000
0.0000 4.1908 0.0000
0.0000 0.0000 10.4100
K Bi As Pd
1 1 2 4
direct
0.0000 0.0000 0.0000
0.0000 0.0000 0.5000
0.5000 0.5000 0.1862
0.5000 0.5000 0.8138
0.0000 0.5000 0.3118
0.0000 0.5000 0.6882
0.5000 0.0000 0.3118
0.5000 0.0000 0.6882
```

Formation enthalpy at 0 K, eV per atom: -0.34
Density, g/cm3: 7.480
M_tot, μB per formula unit: 0.00
Final energy, eV for the cell shown: -37.8



Entry 2:
This record from the Alexandria database describes a geometry-optimized K2BiAs2Pd structure. The functional is PBE.

Geometry as POSCAR:
```
K2BiAs2Pd
1.0
-3.7727 6.6611 3.6481
3.7727 -6.6611 3.6481
3.7727 6.6611 -3.6481
K Bi As Pd
4 2 4 2
direct
0.1873 0.1930 0.3802
0.3127 0.6930 0.0057
0.6873 0.3070 0.9943
0.8127 0.8070 0.6198
0.2500 0.7500 0.5000
0.7500 0.2500 0.5000
0.0667 0.7935 0.8602
0.4333 0.2935 0.7268
0.5667 0.7065 0.2732
0.9333 0.2065 0.1398
0.2500 0.2500 0.0000
0.7500 0.7500 0.0000
```

Formation enthalpy at 0 K, eV per atom: -0.29
Density, g/cm3: 4.922
M_tot, μB per formula unit: 0.00
Final energy, eV for the cell shown: -44.6